Record 1
VASP calculation (PBE-GGA) on a relaxed structure of CeSmPbSe.

a = 4.3711 Å, b = 4.3994 Å, c = 6.2576 Å
α = 90.00°, β = 90.10°, γ = 90.00°
Positions (direct):
Ce1 0.0000 0.0000 0.0000
Sm1 0.5000 0.5000 0.5000
Pb1 0.0000 0.0000 0.5000
Se1 0.5000 0.5000 0.0000

The space group is P2/m. The value obtained for the uncorrected formation energy is -1.1143 eV per atom.

Record 2
VASP calculation (PBE-GGA) on a relaxed structure of Li2RuO6.

a = 4.6920 Å, b = 4.6920 Å, c = 9.1085 Å
α = 90.00°, β = 90.00°, γ = 90.00°
Positions (direct):
Li1 0.0000 0.0000 0.1661
Li2 0.0000 0.0000 0.8339
Li3 0.5000 0.5000 0.3339
Li4 0.5000 0.5000 0.6661
Ru1 0.0000 0.0000 0.5000
Ru2 0.5000 0.5000 0.0000
O1 0.1960 0.1960 0.3565
O2 0.1960 0.1960 0.6435
O3 0.2112 0.2112 0.0000
O4 0.2888 0.7112 0.5000
O5 0.3040 0.6960 0.1435
O6 0.3040 0.6960 0.8565
O7 0.6960 0.3040 0.1435
O8 0.6960 0.3040 0.8565
O9 0.7112 0.2888 0.5000
O10 0.7888 0.7888 0.0000
O11 0.8040 0.8040 0.3565
O12 0.8040 0.8040 0.6435

The space group is P4_2/mnm. The value obtained for the uncorrected formation energy is -0.6556 eV per atom.

Record 3
VASP calculation (PBE-GGA) on a relaxed structure of NaPuZnSn.

a = 5.1811 Å, b = 5.1811 Å, c = 5.1811 Å
α = 60.00°, β = 60.00°, γ = 60.00°
Positions (direct):
Na1 0.0000 0.0000 0.0000
Pu1 0.5000 0.5000 0.5000
Zn1 0.2500 0.2500 0.2500
Sn1 0.7500 0.7500 0.7500

The space group is F-43m. As for the formation energy: -94 meV/atom.

Record 4
VASP calculation (PBE-GGA) on a relaxed structure of Pb3Au5.

a = 6.2771 Å, b = 6.2771 Å, c = 4.9472 Å
α = 90.00°, β = 90.00°, γ = 110.81°
Positions (direct):
Pb1 0.0000 0.0000 0.0000
Pb2 0.2523 0.7477 0.5000
Pb3 0.7477 0.2523 0.5000
Au1 0.0000 0.5000 0.0000
Au2 0.2740 0.2740 0.5000
Au3 0.5000 0.0000 0.0000
Au4 0.5000 0.5000 0.0000
Au5 0.7260 0.7260 0.5000

The space group is Cmmm. The calculation puts the energy above the most stable polymorph in this dataset at 0.070 eV/atom. As for the formation energy: 19 meV/atom.

Record 5
VASP calculation (PBE-GGA) on a relaxed structure of La3TaSi.

a = 5.5026 Å, b = 5.5026 Å, c = 5.5026 Å
α = 90.00°, β = 90.00°, γ = 90.00°
Positions (direct):
La1 0.0000 0.0000 0.5000
La2 0.0000 0.5000 0.0000
La3 0.5000 0.0000 0.0000
Ta1 0.0000 0.0000 0.0000
Si1 0.5000 0.5000 0.5000

The space group is Pm-3m. The calculation puts the energy above the most stable polymorph in this dataset at 0.000 eV/atom. The value obtained for the uncorrected formation energy is 0.5487 eV per atom.

Record 6
VASP calculation (PBE-GGA) on a relaxed structure of CeYCuPt.

a = 4.9953 Å, b = 4.9953 Å, c = 4.9953 Å
α = 60.00°, β = 60.00°, γ = 60.00°
Positions (direct):
Ce1 0.0000 0.0000 0.0000
Y1 0.5000 0.5000 0.5000
Cu1 0.7500 0.7500 0.7500
Pt1 0.2500 0.2500 0.2500

The space group is F-43m. The calculation puts the energy above the most stable polymorph in this dataset at 0.059 eV/atom. As for the formation energy: -619 meV/atom.

Record 7
VASP calculation (PBE-GGA) on a relaxed structure of CeHoNbN3.

a = 5.7850 Å, b = 3.3758 Å, c = 8.6600 Å
α = 90.00°, β = 102.87°, γ = 90.00°
Positions (direct):
Ce1 0.1426 0.2500 0.1880
Ce2 0.8574 0.7500 0.8120
Ho1 0.2700 0.7500 0.5515
Ho2 0.7300 0.2500 0.4485
Nb1 0.3747 0.2500 0.8701
Nb2 0.6253 0.7500 0.1299
N1 0.0597 0.2500 0.6769
N2 0.2509 0.7500 0.9861
N3 0.4512 0.7500 0.3290
N4 0.5488 0.2500 0.6710
N5 0.7491 0.2500 0.0139
N6 0.9403 0.7500 0.3231

The space group is P2_1/m. The value obtained for the uncorrected formation energy is -1.4535 eV per atom.

Record 8
VASP calculation (PBE-GGA) on a relaxed structure of Ba2NaAl3Ag12.

a = 8.5528 Å, b = 8.5528 Å, c = 8.5528 Å
α = 62.94°, β = 62.94°, γ = 62.94°
Positions (direct):
Ba1 0.1095 0.1095 0.1095
Ba2 0.8905 0.8905 0.8905
Na1 0.5000 0.5000 0.5000
Al1 0.0000 0.5000 0.5000
Al2 0.5000 0.0000 0.5000
Al3 0.5000 0.5000 0.0000
Ag1 0.1173 0.6295 0.6295
Ag2 0.1542 0.1542 0.6094
Ag3 0.1542 0.6094 0.1542
Ag4 0.3705 0.3705 0.8827
Ag5 0.3705 0.8827 0.3705
Ag6 0.3906 0.8458 0.8458
Ag7 0.6094 0.1542 0.1542
Ag8 0.6295 0.1173 0.6295
Ag9 0.6295 0.6295 0.1173
Ag10 0.8458 0.3906 0.8458
Ag11 0.8458 0.8458 0.3906
Ag12 0.8827 0.3705 0.3705

The space group is R-3m. As for the formation energy: 203 meV/atom.

Looking at D(E_F) for the records above, in order, we have 1.963, 0.432, 2.812, 0.310, 0.679, 1.762, 0.484, 0.231 states/eV/atom.